! TaHgSb | the Alexandria database | GGA-PBE | relaxed; values from VASP
! DFT total energy in eV/cell: -14.5
! Formation energy from raw total energies in eV/atom: 0.577
! Volume in Å³/cell: 76
&SYSTEM
  ibrav = 0, nat = 3, ntyp = 3
/
ATOMIC_SPECIES
Sb 121.76 Sb.upf
Hg 200.59 Hg.upf
Ta 180.95 Ta.upf
ATOMIC_POSITIONS crystal
Sb 0.500 0.500 0.500
Hg 0.000 0.000 0.000
Ta 0.750 0.750 0.750
CELL_PARAMETERS angstrom
4.757 0.000 0.000
2.379 4.120 0.000
2.379 1.373 3.884

! PdCF3 | the Alexandria database | GGA-PBE | relaxed; values from VASP
! DFT total energy in eV/cell: -17.5
! Formation energy from raw total energies in eV/atom: 0.502
! Volume in Å³/cell: 72
&SYSTEM
  ibrav = 0, nat = 5, ntyp = 3
/
ATOMIC_SPECIES
F 19.00 F.upf
Pd 106.42 Pd.upf
C 12.01 C.upf
ATOMIC_POSITIONS crystal
F 0.000 0.500 0.000
F 0.000 0.000 0.500
F 0.500 0.000 0.000
Pd 0.000 0.000 0.000
C 0.500 0.500 0.500
CELL_PARAMETERS angstrom
4.151 0.000 0.000
0.000 4.151 0.000
0.000 0.000 4.151

! AgW2Au | the Alexandria database | GGA-PBE | relaxed; values from VASP
! DFT total energy in eV/cell: -30.0
! Formation enthalpy at 0 K in meV per atom: 515
! Volume in Å³/cell: 67
&SYSTEM
  ibrav = 0, nat = 4, ntyp = 3
/
ATOMIC_SPECIES
W 183.84 W.upf
Ag 107.87 Ag.upf
Au 196.97 Au.upf
ATOMIC_POSITIONS crystal
W 0.751 0.751 0.759
W 0.996 0.996 0.989
Ag 0.500 0.500 0.493
Au 0.253 0.253 0.259
CELL_PARAMETERS angstrom
-2.301 -3.383 2.697
-1.912 -4.505 0.248
4.337 -2.357 1.770

! TlOsBr2 | the Alexandria database | GGA-PBE | relaxed; values from VASP
! DFT total energy in eV/cell: -14.4
! Formation energy from raw total energies in eV/atom: 0.635
! Volume in Å³/cell: 103
&SYSTEM
  ibrav = 0, nat = 4, ntyp = 3
/
ATOMIC_SPECIES
Br 79.90 Br.upf
Tl 204.38 Tl.upf
Os 190.23 Os.upf
ATOMIC_POSITIONS crystal
Br 0.992 0.992 0.000
Br 0.659 0.159 0.500
Tl 0.330 0.830 0.500
Os 0.519 0.519 0.000
CELL_PARAMETERS angstrom
7.737 -0.027 0.004
5.770 5.155 -0.004
-6.398 -3.499 2.584

! Tb2NbP | the Alexandria database | GGA-PBE | relaxed; values from VASP
! DFT total energy in eV/cell: -24.5
! Formation enthalpy at 0 K in meV per atom: 53
! Volume in Å³/cell: 103
&SYSTEM
  ibrav = 0, nat = 4, ntyp = 3
/
ATOMIC_SPECIES
Tb 158.93 Tb.upf
Nb 92.91 Nb.upf
P 30.97 P.upf
ATOMIC_POSITIONS crystal
Tb 0.895 0.895 0.316
Tb 0.105 0.105 0.684
Nb 0.000 0.000 0.000
P 0.500 0.500 0.500
CELL_PARAMETERS angstrom
-3.367 -1.150 0.241
-1.317 -1.015 3.156
-4.448 8.069 2.756

! ZrRu2RhI | the Alexandria database | GGA-PBE | relaxed; values from VASP
! DFT total energy in eV/cell: -29.8
! Formation energy from raw total energies in eV/atom: 1.233
! Volume in Å³/cell: 108
&SYSTEM
  ibrav = 0, nat = 5, ntyp = 4
/
ATOMIC_SPECIES
Ru 101.07 Ru.upf
Rh 102.91 Rh.upf
I 126.90 I.upf
Zr 91.22 Zr.upf
ATOMIC_POSITIONS crystal
Ru 0.000 0.000 0.500
Ru 0.500 0.000 0.000
Rh 0.000 0.500 0.000
I 0.000 0.000 0.000
Zr 0.500 0.500 0.500
CELL_PARAMETERS angstrom
-1.242 -0.649 -4.553
-4.510 -0.747 1.337
-0.896 4.660 -0.420

! UTiTlO6 | the Alexandria database | GGA-PBE | relaxed; values from VASP
! DFT total energy in eV/cell: -145.8
! Formation energy from raw total energies in eV/atom: -2.401
! Volume in Å³/cell: 311
&SYSTEM
  ibrav = 0, nat = 18, ntyp = 4
/
ATOMIC_SPECIES
O 16.00 O.upf
U 238.03 U.upf
Tl 204.38 Tl.upf
Ti 47.87 Ti.upf
ATOMIC_POSITIONS crystal
O 0.431 0.681 0.862
O 0.819 0.697 0.243
O 0.819 0.046 0.243
O 0.424 0.046 0.243
O 0.569 0.319 0.138
O 0.576 0.954 0.757
O 0.181 0.954 0.757
O 0.576 0.303 0.757
O 0.424 0.697 0.243
O 0.803 0.053 0.606
O 0.181 0.303 0.757
O 0.197 0.947 0.394
U 0.500 0.000 0.000
U 0.500 0.500 0.000
Tl 0.948 0.698 0.896
Tl 0.052 0.302 0.104
Ti 0.500 0.000 0.500
Ti 0.000 0.000 0.500
CELL_PARAMETERS angstrom
-1.321 2.303 6.828
-2.278 -7.384 2.049
6.801 1.375 -3.078

! PC2Cl | the Alexandria database | GGA-PBE | relaxed; values from VASP
! DFT total energy in eV/cell: -39.2
! Formation energy from raw total energies in eV/atom: 1.531
! Volume in Å³/cell: 103
&SYSTEM
  ibrav = 0, nat = 8, ntyp = 3
/
ATOMIC_SPECIES
P 30.97 P.upf
C 12.01 C.upf
Cl 35.45 Cl.upf
ATOMIC_POSITIONS crystal
P 0.500 0.500 0.000
P 0.250 0.750 0.500
C 0.375 0.491 0.750
C 0.241 0.625 0.250
C 0.875 0.759 0.750
C 0.509 0.125 0.250
Cl 0.000 0.000 0.000
Cl 0.750 0.250 0.500
CELL_PARAMETERS angstrom
5.088 0.000 0.000
0.000 5.088 0.000
2.544 2.544 3.972

! IrAu | the Alexandria database | GGA-PBE | relaxed; values from VASP
! DFT total energy in eV/cell: -67.5
! Formation enthalpy at 0 K in meV per atom: 443
! Volume in Å³/cell: 206
&SYSTEM
  ibrav = 0, nat = 12, ntyp = 2
/
ATOMIC_SPECIES
Au 196.97 Au.upf
Ir 192.22 Ir.upf
ATOMIC_POSITIONS crystal
Au 0.000 0.171 0.212
Au 0.500 0.000 0.946
Au 0.000 0.829 0.212
Au 0.000 0.671 0.712
Au 0.500 0.500 0.446
Au 0.000 0.329 0.712
Ir 0.500 0.338 0.979
Ir 0.000 0.000 0.674
Ir 0.000 0.500 0.174
Ir 0.500 0.162 0.479
Ir 0.500 0.662 0.979
Ir 0.500 0.838 0.479
CELL_PARAMETERS angstrom
2.783 0.000 0.000
0.000 8.284 0.000
0.000 0.000 8.945

! Cs3NdO3 | the Alexandria database | GGA-PBE | relaxed; values from VASP
! DFT total energy in eV/cell: -140.3
! Formation energy from raw total energies in eV/atom: -1.839
! Volume in Å³/cell: 817
&SYSTEM
  ibrav = 0, nat = 28, ntyp = 3
/
ATOMIC_SPECIES
Cs 132.91 Cs.upf
O 16.00 O.upf
Nd 144.24 Nd.upf
ATOMIC_POSITIONS crystal
Cs 0.148 0.344 0.924
Cs 0.631 0.931 0.335
Cs 0.869 0.931 0.835
Cs 0.131 0.069 0.165
Cs 0.852 0.656 0.076
Cs 0.824 0.388 0.308
Cs 0.676 0.388 0.808
Cs 0.648 0.656 0.576
Cs 0.369 0.069 0.665
Cs 0.176 0.612 0.692
Cs 0.324 0.612 0.192
Cs 0.352 0.344 0.424
O 0.450 0.119 0.915
O 0.050 0.119 0.415
O 0.457 0.291 0.204
O 0.637 0.251 0.565
O 0.957 0.709 0.296
O 0.363 0.749 0.435
O 0.863 0.251 0.065
O 0.950 0.881 0.585
O 0.043 0.291 0.704
O 0.137 0.749 0.935
O 0.543 0.709 0.796
O 0.550 0.881 0.085
Nd 0.597 0.157 0.074
Nd 0.903 0.157 0.574
Nd 0.097 0.843 0.426
Nd 0.403 0.843 0.926
CELL_PARAMETERS angstrom
7.787 0.000 0.000
0.000 8.265 -0.604
0.000 -0.061 12.693

! LaTa4Sb | the Alexandria database | GGA-PBE | relaxed; values from VASP
! DFT total energy in eV/cell: -54.3
! Formation energy from raw total energies in eV/atom: 0.361
! Volume in Å³/cell: 133
&SYSTEM
  ibrav = 0, nat = 6, ntyp = 3
/
ATOMIC_SPECIES
Ta 180.95 Ta.upf
La 138.91 La.upf
Sb 121.76 Sb.upf
ATOMIC_POSITIONS crystal
Ta 0.377 0.868 0.377
Ta 0.868 0.377 0.377
Ta 0.377 0.377 0.377
Ta 0.377 0.377 0.868
La 0.750 0.750 0.750
Sb 0.000 0.000 0.000
CELL_PARAMETERS angstrom
0.000 4.049 4.049
4.049 0.000 4.049
4.049 4.049 0.000

! LaTaMn4 | the Alexandria database | GGA-PBE | relaxed; values from VASP
! DFT total energy in eV/cell: -51.9
! Formation enthalpy at 0 K in meV per atom: 265
! Volume in Å³/cell: 93
&SYSTEM
  ibrav = 0, nat = 6, ntyp = 3
/
ATOMIC_SPECIES
La 138.91 La.upf
Mn 54.94 Mn.upf
Ta 180.95 Ta.upf
ATOMIC_POSITIONS crystal
La 0.000 0.000 0.000
Mn 0.376 0.376 0.376
Mn 0.376 0.871 0.376
Mn 0.871 0.376 0.376
Mn 0.376 0.376 0.871
Ta 0.750 0.750 0.750
CELL_PARAMETERS angstrom
0.000 3.590 3.590
3.590 0.000 3.590
3.590 3.590 0.000

! PuCo4Ge | the Alexandria database | GGA-PBE | relaxed; values from VASP
! DFT total energy in eV/cell: -95.5
! Formation enthalpy at 0 K in meV per atom: -64
! Volume in Å³/cell: 166
&SYSTEM
  ibrav = 0, nat = 12, ntyp = 3
/
ATOMIC_SPECIES
Pu 244.00 Pu.upf
Ge 72.64 Ge.upf
Co 58.93 Co.upf
ATOMIC_POSITIONS crystal
Pu 0.886 0.750 0.773
Pu 0.114 0.250 0.227
Ge 0.227 0.750 0.454
Ge 0.773 0.250 0.546
Co 0.658 0.954 0.316
Co 0.067 0.750 0.134
Co 0.500 0.500 0.000
Co 0.342 0.454 0.684
Co 0.342 0.046 0.684
Co 0.500 0.000 0.000
Co 0.658 0.546 0.316
Co 0.933 0.250 0.866
CELL_PARAMETERS angstrom
-3.325 -0.444 1.864
2.845 -0.935 4.852
1.520 7.668 0.587

! LaRu4Rh | the Alexandria database | GGA-PBE | relaxed; values from VASP
! DFT total energy in eV/cell: -47.6
! Formation enthalpy at 0 K in meV per atom: 299
! Volume in Å³/cell: 103
&SYSTEM
  ibrav = 0, nat = 6, ntyp = 3
/
ATOMIC_SPECIES
Ru 101.07 Ru.upf
Rh 102.91 Rh.upf
La 138.91 La.upf
ATOMIC_POSITIONS crystal
Ru 0.879 0.374 0.374
Ru 0.374 0.374 0.879
Ru 0.374 0.879 0.374
Ru 0.374 0.374 0.374
Rh 0.000 0.000 0.000
La 0.750 0.750 0.750
CELL_PARAMETERS angstrom
-2.614 0.360 4.558
-1.692 4.689 1.702
-5.151 1.099 0.002

! Ho2SnHPd6 | the Alexandria database | GGA-PBE | relaxed; values from VASP
! DFT total energy in eV/cell: -54.4
! Volume in Å³/cell: 176
&SYSTEM
  ibrav = 0, nat = 10, ntyp = 4
/
ATOMIC_SPECIES
Pd 106.42 Pd.upf
H 1.01 H.upf
Ho 164.93 Ho.upf
Sn 118.71 Sn.upf
ATOMIC_POSITIONS crystal
Pd 0.690 0.644 0.536
Pd 0.310 0.356 0.464
Pd 0.713 0.735 0.967
Pd 0.190 0.652 0.034
Pd 0.287 0.265 0.033
Pd 0.810 0.348 0.966
H 0.500 0.500 0.000
Ho 0.251 0.802 0.440
Ho 0.749 0.198 0.560
Sn 0.000 0.000 0.000
CELL_PARAMETERS angstrom
-2.628 -2.813 -4.141
6.246 -2.811 -2.032
0.128 -5.660 -0.013

! LiHo4Ru | the Alexandria database | GGA-PBE | relaxed; values from VASP
! DFT total energy in eV/cell: -57.8
! Formation enthalpy at 0 K in meV per atom: 104
! Volume in Å³/cell: 357
&SYSTEM
  ibrav = 0, nat = 12, ntyp = 3
/
ATOMIC_SPECIES
Ho 164.93 Ho.upf
Ru 101.07 Ru.upf
Li 6.94 Li.upf
ATOMIC_POSITIONS crystal
Ho 0.708 0.516 0.192
Ho 0.764 0.001 0.763
Ho 0.751 0.014 0.263
Ho 0.324 0.516 0.808
Ho 0.238 0.001 0.237
Ho 0.751 0.488 0.737
Ho 0.266 0.574 0.308
Ho 0.266 0.958 0.692
Ru 0.784 0.784 0.000
Ru 0.534 0.034 0.500
Li 0.183 0.183 0.000
Li 0.933 0.433 0.500
CELL_PARAMETERS angstrom
-0.779 -3.496 -7.032
-4.207 -1.764 6.439
-2.309 7.388 -1.538

! NdPS4 | the Alexandria database | GGA-PBE | relaxed; values from VASP
! DFT total energy in eV/cell: -64.7
! Formation energy from raw total energies in eV/atom: -0.943
! Volume in Å³/cell: 306
&SYSTEM
  ibrav = 0, nat = 12, ntyp = 3
/
ATOMIC_SPECIES
P 30.97 P.upf
S 32.06 S.upf
Nd 144.24 Nd.upf
ATOMIC_POSITIONS crystal
P 0.375 0.125 0.250
P 0.625 0.875 0.750
S 0.272 0.696 0.924
S 0.804 0.228 0.576
S 0.804 0.880 0.924
S 0.620 0.696 0.576
S 0.196 0.120 0.076
S 0.380 0.304 0.424
S 0.196 0.772 0.424
S 0.728 0.304 0.076
Nd 0.875 0.625 0.250
Nd 0.125 0.375 0.750
CELL_PARAMETERS angstrom
7.095 -0.670 2.110
-4.116 5.817 2.110
-0.387 -0.670 7.391

! TaRhSCl2 | the Alexandria database | GGA-PBE | relaxed; values from VASP
! DFT total energy in eV/cell: -25.4
! Formation energy from raw total energies in eV/atom: 0.330
! Volume in Å³/cell: 109
&SYSTEM
  ibrav = 0, nat = 5, ntyp = 4
/
ATOMIC_SPECIES
Rh 102.91 Rh.upf
S 32.06 S.upf
Cl 35.45 Cl.upf
Ta 180.95 Ta.upf
ATOMIC_POSITIONS crystal
Rh 0.000 0.500 0.000
S 0.500 0.500 0.500
Cl 0.500 0.000 0.000
Cl 0.000 0.000 0.500
Ta 0.000 0.000 0.000
CELL_PARAMETERS angstrom
-2.895 2.658 2.413
1.106 -2.665 4.262
3.451 2.916 0.928

! Rb2NbAsI6 | the Alexandria database | GGA-PBE | relaxed; values from VASP
! DFT total energy in eV/cell: -31.4
! Formation energy from raw total energies in eV/atom: -0.541
! Volume in Å³/cell: 439
&SYSTEM
  ibrav = 0, nat = 10, ntyp = 4
/
ATOMIC_SPECIES
I 126.90 I.upf
Rb 85.47 Rb.upf
Nb 92.91 Nb.upf
As 74.92 As.upf
ATOMIC_POSITIONS crystal
I 0.750 0.250 0.000
I 0.250 0.750 0.000
I 0.750 0.750 0.000
I 0.782 0.782 0.435
I 0.218 0.218 0.565
I 0.250 0.250 0.000
Rb 0.750 0.250 0.500
Rb 0.250 0.750 0.500
Nb 0.000 0.000 0.000
As 0.500 0.500 0.000
CELL_PARAMETERS angstrom
-0.575 -8.048 -1.042
3.793 -1.190 7.098
-4.235 -4.606 6.153

! HfZr2Ir2 | the Alexandria database | GGA-PBE | relaxed; values from VASP
! DFT total energy in eV/cell: -193.1
! Formation enthalpy at 0 K in meV per atom: -699
! Volume in Å³/cell: 412
&SYSTEM
  ibrav = 0, nat = 20, ntyp = 3
/
ATOMIC_SPECIES
Hf 178.49 Hf.upf
Zr 91.22 Zr.upf
Ir 192.22 Ir.upf
ATOMIC_POSITIONS crystal
Hf 0.250 0.500 0.330
Hf 0.750 0.000 0.670
Hf 0.250 0.000 0.330
Hf 0.750 0.500 0.670
Zr 0.250 0.500 0.002
Zr 0.750 0.500 0.326
Zr 0.250 0.000 0.002
Zr 0.250 0.000 0.674
Zr 0.250 0.500 0.674
Zr 0.750 0.000 0.326
Zr 0.750 0.500 0.998
Zr 0.750 0.000 0.998
Ir 0.500 0.250 0.517
Ir 0.000 0.750 0.517
Ir 0.000 0.250 0.483
Ir 0.004 0.750 0.166
Ir 0.996 0.250 0.834
Ir 0.496 0.250 0.166
Ir 0.500 0.750 0.483
Ir 0.504 0.750 0.834
CELL_PARAMETERS angstrom
6.536 0.000 0.000
0.000 6.535 -0.002
0.000 -0.001 9.646

! RhAuICl | the Alexandria database | GGA-PBE | relaxed; values from VASP
! DFT total energy in eV/cell: -14.1
! Formation energy from raw total energies in eV/atom: -0.026
! Volume in Å³/cell: 117
&SYSTEM
  ibrav = 0, nat = 4, ntyp = 4
/
ATOMIC_SPECIES
Cl 35.45 Cl.upf
I 126.90 I.upf
Rh 102.91 Rh.upf
Au 196.97 Au.upf
ATOMIC_POSITIONS crystal
Cl 0.372 0.362 0.250
I 0.171 0.972 0.700
Rh 0.781 0.186 0.991
Au 0.971 0.569 0.835
CELL_PARAMETERS angstrom
3.674 0.001 0.002
-1.826 5.490 0.006
-0.047 -2.107 5.815

! SnBRuRh | the Alexandria database | GGA-PBE | relaxed; values from VASP
! DFT total energy in eV/cell: -82.5
! Formation enthalpy at 0 K in meV per atom: -45
! Volume in Å³/cell: 186
&SYSTEM
  ibrav = 0, nat = 12, ntyp = 4
/
ATOMIC_SPECIES
Ru 101.07 Ru.upf
Sn 118.71 Sn.upf
Rh 102.91 Rh.upf
B 10.81 B.upf
ATOMIC_POSITIONS crystal
Ru 0.000 0.000 0.225
Ru 0.667 0.333 0.558
Ru 0.333 0.667 0.892
Sn 0.000 0.000 0.004
Sn 0.333 0.667 0.670
Sn 0.667 0.333 0.337
Rh 0.333 0.667 0.100
Rh 0.667 0.333 0.767
Rh 0.000 0.000 0.433
B 0.333 0.667 0.227
B 0.667 0.333 0.893
B 0.000 0.000 0.560
CELL_PARAMETERS angstrom
-0.667 -1.020 -3.429
0.423 -2.515 2.597
-15.894 0.398 2.975

! CaHgAsBr2 | the Alexandria database | GGA-PBE | relaxed; values from VASP
! DFT total energy in eV/cell: -11.5
! Formation energy from raw total energies in eV/atom: -0.239
! Volume in Å³/cell: 164
&SYSTEM
  ibrav = 0, nat = 5, ntyp = 4
/
ATOMIC_SPECIES
Hg 200.59 Hg.upf
Ca 40.08 Ca.upf
Br 79.90 Br.upf
As 74.92 As.upf
ATOMIC_POSITIONS crystal
Hg 0.000 0.000 0.000
Ca 0.500 0.500 0.500
Br 0.500 0.000 0.000
Br 0.000 0.500 0.000
As 0.000 0.000 0.500
CELL_PARAMETERS angstrom
-2.671 3.449 3.482
-4.186 -3.668 0.422
2.409 -2.277 4.104